# LaGa6Co3

LaGa6Co3 after structural relaxation (PBE-GGA, the Alexandria database).

a = 6.926 Å, b = 6.926 Å, c = 6.926 Å
α = 47.23°, β = 47.23°, γ = 47.23°
Fractional coordinates of all 10 atoms:
La  0.000  0.000  0.000
Ga  0.113  0.596  0.596
Ga  0.401  0.401  0.898
Ga  0.401  0.898  0.401
Ga  0.596  0.113  0.596
Ga  0.596  0.596  0.113
Ga  0.898  0.401  0.401
Co  0.335  0.335  0.335
Co  0.673  0.673  0.673
Co  0.860  0.860  0.860

**Raw total energy**: -4.70 eV per atom
**E_form**: -0.261 eV/atom
**Magnetization**: 0.01 μB per cell